First-principles (PBE-GGA) data for a relaxed structure of BeGeF, as listed in the Alexandria database.

Summary:
Formation energy without anion corrections ... -1.30 eV/atom
Energy above the most stable polymorph in this dataset ... 68.3 meV per atom
Fermi-level density of states ... 0.231 states/eV/atom
E ... -4.70 eV/atom

Unit cell a=3.020 b=13.829 c=4.252 alpha=90.00 beta=102.23 gamma=90.00
Space group Cc (No. 9)
Symmetry-distinct sites (fractional):
Be: 0.000 0.180 0.000 x4
Ge: 0.482 0.050 0.926 x4
F: 0.278 0.228 0.314 x4